Entry 1:
Material: MnAg2Cl
Method: DFT, SCAN
State: PBEsol geometry

Values from the calculation:
Relative energy among the computed polymorphs in eV/f.u.: 0.000
Symmetry: Pmmm, No. 47

Cell lengths 3.0695, 4.4663, 5.0899 Å; angles 90.00, 90.00, 90.00 degrees
With the nearest neighbours (Å) after each atom.
Sites, in units of the cell vectors:
1 Mn 0.0000 0.0000 0.0000  4 Cl 2.71, 4 Ag 2.97
2 Ag 0.0000 0.5000 0.5000  4 Ag 2.71, 4 Cl 2.97
3 Ag 0.5000 0.0000 0.5000  4 Ag 2.71, 4 Mn 2.97
4 Cl 0.5000 0.5000 0.0000  4 Mn 2.71, 4 Ag 2.97

Entry 2:
Material: MnAg2Cl
Method: DFT, SCAN
State: PBEsol geometry

Values from the calculation:
Relative energy among the computed polymorphs in eV/f.u.: 1.216
Symmetry: Fm-3m, No. 225

Cell lengths 4.6242, 4.6242, 4.6242 Å; angles 60.00, 60.00, 60.00 degrees
With the nearest neighbours (Å) after each atom.
Sites, in units of the cell vectors:
1 Mn 0.0000 0.0000 0.0000  8 Ag 2.83
2 Ag 0.2500 0.2500 0.2500  4 Mn 2.83, 4 Cl 2.83
3 Ag 0.7500 0.7500 0.7500  4 Cl 2.83, 4 Mn 2.83
4 Cl 0.5000 0.5000 0.5000  8 Ag 2.83

> Which of these has the highest relative energy among the computed polymorphs?

number 2

> Among the records above, which one has the lowest relative energy among the computed polymorphs?

number 1

Repeat the second record exactly.
Material: MnAg2Cl
Method: DFT, SCAN
State: PBEsol geometry

Values from the calculation:
Relative energy among the computed polymorphs in eV/f.u.: 1.216
Symmetry: Fm-3m, No. 225

Cell lengths 4.6242, 4.6242, 4.6242 Å; angles 60.00, 60.00, 60.00 degrees
With the nearest neighbours (Å) after each atom.
Sites, in units of the cell vectors:
1 Mn 0.0000 0.0000 0.0000  8 Ag 2.83
2 Ag 0.2500 0.2500 0.2500  4 Mn 2.83, 4 Cl 2.83
3 Ag 0.7500 0.7500 0.7500  4 Cl 2.83, 4 Mn 2.83
4 Cl 0.5000 0.5000 0.5000  8 Ag 2.83

What did the first record say?
Material: MnAg2Cl
Method: DFT, SCAN
State: PBEsol geometry

Values from the calculation:
Relative energy among the computed polymorphs in eV/f.u.: 0.000
Symmetry: Pmmm, No. 47

Cell lengths 3.0695, 4.4663, 5.0899 Å; angles 90.00, 90.00, 90.00 degrees
With the nearest neighbours (Å) after each atom.
Sites, in units of the cell vectors:
1 Mn 0.0000 0.0000 0.0000  4 Cl 2.71, 4 Ag 2.97
2 Ag 0.0000 0.5000 0.5000  4 Ag 2.71, 4 Cl 2.97
3 Ag 0.5000 0.0000 0.5000  4 Ag 2.71, 4 Mn 2.97
4 Cl 0.5000 0.5000 0.0000  4 Mn 2.71, 4 Ag 2.97